1 | ! Hf4InFe PBE relaxed; values from VASP
! DOS at the Fermi energy ... 15.8 states/eV per cell
! Crystal system ... monoclinic
! Symmetry ... No. 15
&SYSTEM
  ibrav = 0, nat = 12, ntyp = 3
/
ATOMIC_SPECIES
Hf 178.49 Hf.upf
In 114.82 In.upf
Fe 55.84 Fe.upf
ATOMIC_POSITIONS angstrom
Hf -4.249 2.636 2.304
Hf -1.458 -1.542 4.661
Hf -2.121 1.574 4.829
Hf 0.487 0.576 6.218
Hf -2.917 -1.992 0.473
Hf -0.309 -2.990 1.862
Hf -0.972 0.126 2.029
Hf 1.819 -4.052 4.387
In 1.314 -0.894 3.749
In -3.744 -0.522 2.941
Fe -1.102 2.412 7.168
Fe -1.328 -3.828 -0.478
CELL_PARAMETERS angstrom
-1.767 -5.105 -0.640
5.583 0.291 5.873
-6.245 3.398 1.457

---

2 | ! Hf4InFe PBE relaxed; values from VASP
! DOS at the Fermi energy ... 6.8 states/eV per cell
! Crystal system ... monoclinic
! Symmetry ... No. 12
&SYSTEM
  ibrav = 0, nat = 6, ntyp = 3
/
ATOMIC_SPECIES
Hf 178.49 Hf.upf
In 114.82 In.upf
Fe 55.84 Fe.upf
ATOMIC_POSITIONS angstrom
Hf 2.935 3.430 1.852
Hf 1.869 2.800 7.688
Hf 2.087 5.770 6.492
Hf 2.716 0.460 3.048
In 2.402 3.115 4.770
Fe 0.000 0.000 0.000
CELL_PARAMETERS angstrom
3.168 0.000 0.579
1.461 5.186 0.962
0.175 1.043 7.999

---

Looking at the structures above, which would you pick as the most stable? I would pick 1.